1.
Compound: Pm8Os3RhCl4
Source: Alexandria via LeMat-Bulk
Functional: PBE
Structure: optimized geometry

Results
crystal system	trigonal
calculated total energy	-0.2299	hartree per atom

Lattice parameters (Å, degrees): 8.8783 8.8783 8.8783 54.49 54.49 54.49
With the nearest neighbours (Å) after each atom.
Sites, in units of the cell vectors:
Pm (0.2304, 0.7375, 0.7375)  2 Os 2.80, 1 Rh 2.84
Pm (0.2359, 0.2359, 0.2359)  3 Os 2.82
Pm (0.2625, 0.2625, 0.7696)  2 Os 2.80, 1 Rh 2.84
Pm (0.2625, 0.7696, 0.2625)  2 Os 2.80, 1 Rh 2.84
Pm (0.7375, 0.2304, 0.7375)  2 Os 2.80, 1 Rh 2.84
Pm (0.7375, 0.7375, 0.2304)  2 Os 2.80, 1 Rh 2.84
Pm (0.7641, 0.7641, 0.7641)  3 Os 2.82
Pm (0.7696, 0.2624, 0.2625)  2 Os 2.80, 1 Rh 2.84
Os (0.0000, 0.0000, 0.5000)  6 Pm 2.80-2.82
Os (0.0000, 0.5000, 0.0000)  6 Pm 2.80-2.82
Os (0.5000, 0.0000, 0.0000)  6 Pm 2.80-2.82
Rh (0.5000, 0.5000, 0.5000)  6 Pm 2.84
Cl (0.0000, 0.0000, 0.0000)  6 Pm 3.21
Cl (0.0000, 0.5000, 0.5000)  6 Pm 3.22-3.24
Cl (0.5000, 0.0000, 0.5000)  6 Pm 3.22-3.24
Cl (0.5000, 0.5000, 0.0000)  6 Pm 3.22-3.24



2.
Compound: Pm6Os2RhCl3
Source: Alexandria via LeMat-Bulk
Functional: PBE
Structure: optimized geometry

Results
crystal system	monoclinic
calculated total energy	-0.2286	hartree per atom

Lattice parameters (Å, degrees): 7.0325 7.0325 7.9067 98.53 98.53 120.04
With the nearest neighbours (Å) after each atom.
Sites, in units of the cell vectors:
Pm (0.0926, 0.4313, 0.7940)  2 Os 2.80, 1 Rh 2.85
Pm (0.2297, 0.2297, 0.2059)  2 Os 2.80, 1 Rh 2.85
Pm (0.4313, 0.0926, 0.7940)  2 Os 2.80, 1 Rh 2.85
Pm (0.5687, 0.9074, 0.2060)  2 Os 2.80, 1 Rh 2.85
Pm (0.7703, 0.7703, 0.7941)  2 Os 2.80, 1 Rh 2.85
Pm (0.9074, 0.5687, 0.2060)  2 Os 2.80, 1 Rh 2.85
Os (0.1665, 0.8335, 0.0000)  6 Pm 2.80
Os (0.8335, 0.1665, 0.0000)  6 Pm 2.80
Rh (0.5000, 0.5000, 0.0000)  6 Pm 2.85
Cl (0.0000, 0.0000, 0.5000)  6 Pm 3.20-3.24
Cl (0.3304, 0.6696, 0.5000)  6 Pm 3.18-3.27
Cl (0.6696, 0.3304, 0.5000)  6 Pm 3.18-3.27



3.
Compound: Pm4OsSCl2
Source: Alexandria via LeMat-Bulk
Functional: PBE
Structure: optimized geometry

Results
crystal system	monoclinic
calculated total energy	-0.2206	hartree per atom

Lattice parameters (Å, degrees): 7.3232 4.0139 7.4821 90.00 107.19 90.00
With the nearest neighbours (Å) after each atom.
Sites, in units of the cell vectors:
Pm (0.2237, 0.0000, 0.2108)  2 Os 2.77, 1 S 2.91, 1 Cl 3.08
Pm (0.2557, 0.5000, 0.7907)  1 Os 2.77, 2 S 2.83
Pm (0.7443, 0.5000, 0.2093)  1 Os 2.77, 2 S 2.83
Pm (0.7763, 0.0000, 0.7892)  2 Os 2.77, 1 S 2.91, 1 Cl 3.08
Os (0.0000, 0.5000, 0.0000)  6 Pm 2.77
S (0.5000, 0.0000, 0.0000)  6 Pm 2.83-2.91
Cl (0.0000, 0.0000, 0.5000)  6 Pm 3.08-3.14
Cl (0.5000, 0.5000, 0.5000)  6 Pm 3.20



4.
Compound: Pm6Os2SCl3
Source: Alexandria via LeMat-Bulk
Functional: PBE
Structure: optimized geometry

Results
crystal system	monoclinic
calculated total energy	-0.2272	hartree per atom

Lattice parameters (Å, degrees): 7.1327 7.1327 7.7228 98.84 98.84 120.01
With the nearest neighbours (Å) after each atom.
Sites, in units of the cell vectors:
Pm (0.0841, 0.4315, 0.7927)  2 Os 2.78-2.79, 1 S 2.91
Pm (0.2204, 0.2204, 0.2058)  2 Os 2.78, 1 S 2.91
Pm (0.4315, 0.0841, 0.7927)  2 Os 2.78-2.79, 1 S 2.91
Pm (0.5685, 0.9159, 0.2073)  2 Os 2.78-2.79, 1 S 2.91
Pm (0.7796, 0.7796, 0.7942)  2 Os 2.78, 1 S 2.91
Pm (0.9159, 0.5685, 0.2073)  2 Os 2.78-2.79, 1 S 2.91
Os (0.1672, 0.8328, 0.0000)  6 Pm 2.78-2.79
Os (0.8328, 0.1672, 0.0000)  6 Pm 2.78-2.79
S (0.5000, 0.5000, 0.0000)  6 Pm 2.91
Cl (0.0000, 0.0000, 0.5000)  6 Pm 3.13-3.25
Cl (0.3367, 0.6633, 0.5000)  6 Pm 3.16-3.24
Cl (0.6633, 0.3367, 0.5000)  6 Pm 3.16-3.24



5.
Compound: Pm4OsS2Cl
Source: Alexandria via LeMat-Bulk
Functional: PBE
Structure: optimized geometry

Results
crystal system	monoclinic
calculated total energy	-0.2338	hartree per atom

Lattice parameters (Å, degrees): 7.1955 3.9812 7.2121 90.00 107.37 90.00
With the nearest neighbours (Å) after each atom.
Sites, in units of the cell vectors:
Pm (0.2429, 0.0000, 0.2233)  1 Os 2.79, 3 S 2.82-3.02, 2 Cl 3.03
Pm (0.2537, 0.5000, 0.7657)  3 S 2.83-2.98, 2 Os 2.86, 1 Cl 2.97
Pm (0.7463, 0.5000, 0.2343)  3 S 2.83-2.98, 2 Os 2.86, 1 Cl 2.97
Pm (0.7571, 0.0000, 0.7767)  1 Os 2.79, 3 S 2.82-3.02, 2 Cl 3.03
Os (0.5000, 0.0000, 0.0000)  6 Pm 2.79-2.86
S (0.0000, 0.0000, 0.5000)  6 Pm 2.98-3.02
S (0.0000, 0.5000, 0.0000)  6 Pm 2.82-2.83
Cl (0.5000, 0.5000, 0.5000)  6 Pm 2.97-3.03



6.
Compound: Pm4OsSe2Cl
Source: Alexandria via LeMat-Bulk
Functional: PBE
Structure: optimized geometry

Results
crystal system	monoclinic
calculated total energy	-0.2253	hartree per atom

Lattice parameters (Å, degrees): 7.3225 4.0926 7.3803 90.00 107.57 90.00
With the nearest neighbours (Å) after each atom.
Sites, in units of the cell vectors:
Pm (0.2259, 0.0000, 0.2303)  2 Os 2.85, 3 Se 2.95-3.12, 1 Cl 3.00
Pm (0.2273, 0.5000, 0.7564)  1 Os 2.79, 2 Se 2.94, 2 Cl 3.04
Pm (0.7727, 0.5000, 0.2436)  1 Os 2.79, 2 Se 2.94, 2 Cl 3.04
Pm (0.7741, 0.0000, 0.7697)  2 Os 2.85, 3 Se 2.95-3.12, 1 Cl 3.00
Os (0.0000, 0.5000, 0.0000)  6 Pm 2.79-2.85
Se (0.0000, 0.0000, 0.5000)  6 Pm 2.94-2.95
Se (0.5000, 0.5000, 0.5000)  6 Pm 3.12-3.14
Cl (0.5000, 0.0000, 0.0000)  6 Pm 3.00-3.04



7.
Compound: Pm3TeOsCl
Source: Alexandria via LeMat-Bulk
Functional: PBE
Structure: optimized geometry

Results
crystal system	monoclinic
calculated total energy	-0.2193	hartree per atom

Lattice parameters (Å, degrees): 8.6558 4.3388 9.7338 90.00 96.66 90.00
With the nearest neighbours (Å) after each atom.
Sites, in units of the cell vectors:
Pm (0.1346, 0.2500, 0.3249)  3 Os 2.86-2.92
Pm (0.1582, 0.2500, 0.8918)  2 Cl 2.76, 1 Os 2.80
Pm (0.3040, 0.7500, 0.6189)  1 Cl 2.88, 2 Os 2.97, 1 Te 3.20
Pm (0.6960, 0.2500, 0.3811)  1 Cl 2.88, 2 Os 2.97, 1 Te 3.20
Pm (0.8418, 0.7500, 0.1082)  2 Cl 2.76, 1 Os 2.80
Pm (0.8654, 0.7500, 0.6751)  3 Os 2.86-2.92
Te (0.4076, 0.7500, 0.3140)  5 Pm 3.20-3.31
Te (0.5924, 0.2500, 0.6860)  5 Pm 3.20-3.31
Os (0.0687, 0.2500, 0.6063)  6 Pm 2.80-2.97
Os (0.9313, 0.7500, 0.3937)  6 Pm 2.80-2.97
Cl (0.3575, 0.7500, 0.9169)  3 Pm 2.76-2.88
Cl (0.6425, 0.2500, 0.0831)  3 Pm 2.76-2.88



8.
Compound: PmThOsCl
Source: Alexandria via LeMat-Bulk
Functional: PBE
Structure: optimized geometry

Results
crystal system	trigonal
calculated total energy	-0.2630	hartree per atom

Lattice parameters (Å, degrees): 8.0762 8.0762 8.0762 29.55 29.55 29.55
With the nearest neighbours (Å) after each atom.
Sites, in units of the cell vectors:
Pm (0.0000, 0.0000, 0.0000)  3 Os 2.87
Th (0.7962, 0.7962, 0.7962)  3 Os 2.76
Os (0.4025, 0.4025, 0.4025)  3 Th 2.76, 3 Pm 2.87
Cl (0.2316, 0.2316, 0.2316)  3 Pm 3.35, 3 Th 3.35



9.
Compound: Pr5OsCl5
Source: Alexandria via LeMat-Bulk
Functional: PBE
Structure: optimized geometry

Results
crystal system	monoclinic
calculated total energy	-0.1984	hartree per atom

Lattice parameters (Å, degrees): 7.0429 7.0429 8.6955 107.07 107.07 49.27
With the nearest neighbours (Å) after each atom.
Sites, in units of the cell vectors:
Pr (0.0000, 0.0000, 0.0000)  2 Os 2.94, 4 Cl 3.02-3.16
Pr (0.3300, 0.3300, 0.1412)  1 Os 2.82, 2 Cl 2.99
Pr (0.3486, 0.3486, 0.6981)  1 Os 2.71, 4 Cl 2.94-2.98
Pr (0.6514, 0.6514, 0.3019)  1 Os 2.71, 4 Cl 2.94-2.98
Pr (0.6700, 0.6700, 0.8588)  1 Os 2.82, 2 Cl 2.99
Os (0.5000, 0.5000, 0.0000)  6 Pr 2.71-2.94
Cl (0.1472, 0.1472, 0.7899)  5 Pr 2.94-3.19
Cl (0.1669, 0.1669, 0.3581)  5 Pr 2.97-3.23
Cl (0.5000, 0.5000, 0.5000)  4 Pr 2.98-3.18
Cl (0.8331, 0.8331, 0.6419)  5 Pr 2.97-3.23
Cl (0.8528, 0.8528, 0.2101)  5 Pr 2.94-3.19



10.
Compound: Pr3OsCl3
Source: Alexandria via LeMat-Bulk
Functional: PBE
Structure: optimized geometry

Results
crystal system	monoclinic
calculated total energy	-0.2141	hartree per atom

Lattice parameters (Å, degrees): 8.6028 4.2731 12.0788 90.00 90.03 90.00
With the nearest neighbours (Å) after each atom.
Sites, in units of the cell vectors:
Pr (0.1069, 0.2500, 0.1675)  1 Os 2.86, 4 Cl 2.86-2.96
Pr (0.1485, 0.2500, 0.6415)  3 Os 2.82-3.00, 1 Cl 3.13
Pr (0.2828, 0.7500, 0.4020)  2 Os 2.89, 2 Cl 2.98-3.00
Pr (0.7172, 0.2500, 0.5980)  2 Os 2.89, 2 Cl 2.98-3.00
Pr (0.8515, 0.7500, 0.3585)  3 Os 2.82-3.00, 1 Cl 3.13
Pr (0.8931, 0.7500, 0.8325)  1 Os 2.86, 4 Cl 2.86-2.96
Os (0.0572, 0.2500, 0.4015)  6 Pr 2.82-3.00
Os (0.9428, 0.7500, 0.5985)  6 Pr 2.82-3.00
Cl (0.1114, 0.2500, 0.8994)  4 Pr 2.96-3.24
Cl (0.3279, 0.7500, 0.1573)  3 Pr 2.86-2.98
Cl (0.4368, 0.7500, 0.6253)  5 Pr 3.00-3.28
Cl (0.5632, 0.2500, 0.3747)  5 Pr 3.00-3.28
Cl (0.6721, 0.2500, 0.8427)  3 Pr 2.86-2.98
Cl (0.8886, 0.7500, 0.1006)  4 Pr 2.96-3.24



11.
Compound: Pr3OsCl
Source: Alexandria via LeMat-Bulk
Functional: PBE
Structure: optimized geometry

Results
crystal system	orthorhombic
calculated total energy	-0.2216	hartree per atom

Lattice parameters (Å, degrees): 3.8992 9.7198 8.1256 90.00 90.00 90.00
With the nearest neighbours (Å) after each atom.
Sites, in units of the cell vectors:
Pr (0.2500, 0.0748, 0.1623)  3 Os 3.02-3.34, 2 Cl 3.38
Pr (0.2500, 0.2500, 0.7253)  2 Os 2.79, 2 Cl 3.09
Pr (0.2500, 0.4252, 0.1623)  3 Os 3.02-3.34, 2 Cl 3.38
Pr (0.7500, 0.5748, 0.8377)  3 Os 3.02-3.34, 2 Cl 3.38
Pr (0.7500, 0.7500, 0.2747)  2 Os 2.79, 2 Cl 3.09
Pr (0.7500, 0.9252, 0.8377)  3 Os 3.02-3.34, 2 Cl 3.38
Os (0.2500, 0.7500, 0.0285)  6 Pr 2.79-3.02
Os (0.7500, 0.2500, 0.9715)  6 Pr 2.79-3.02
Cl (0.2500, 0.7500, 0.5705)  6 Pr 3.09-3.38
Cl (0.7500, 0.2500, 0.4295)  6 Pr 3.09-3.38



12.
Compound: Pr4OsPtCl2
Source: Alexandria via LeMat-Bulk
Functional: PBE
Structure: optimized geometry

Results
crystal system	monoclinic
calculated total energy	-0.2238	hartree per atom

Lattice parameters (Å, degrees): 7.2175 4.1865 7.9552 90.00 107.38 90.00
With the nearest neighbours (Å) after each atom.
Sites, in units of the cell vectors:
Pr (0.2247, 0.0000, 0.2078)  2 Os 2.85, 1 Pt 2.94
Pr (0.2561, 0.5000, 0.7955)  1 Os 2.80, 2 Pt 2.90
Pr (0.7439, 0.5000, 0.2045)  1 Os 2.80, 2 Pt 2.90
Pr (0.7753, 0.0000, 0.7922)  2 Os 2.85, 1 Pt 2.94
Os (0.0000, 0.5000, 0.0000)  6 Pr 2.80-2.85
Pt (0.5000, 0.0000, 0.0000)  6 Pr 2.90-2.94
Cl (0.0000, 0.0000, 0.5000)  6 Pr 3.21-3.28
Cl (0.5000, 0.5000, 0.5000)  6 Pr 3.31-3.33



For reference, formation energy without anion corrections by record: -19.7; -20.8; -28.8; -26.0; -30.4; -28.8; -20.5; -19.5; -31.5; -31.9; -12.6; -24.9 kcal/mol of atoms.